A relaxed CdSb2PI crystal. Source: the Alexandria database, functional GGA-PBE.

```
CdSb2PI
1.0
-4.299 -2.986 1.059
1.284 -0.010 5.184
-2.914 4.455 0.730
Cd Sb P I
1 2 1 1
Direct
0.500 0.500 0.500 Cd
0.500 0.000 0.000 Sb
0.000 0.500 0.000 Sb
0.000 0.000 0.000 P
0.000 0.000 0.500 I
```

The calculation puts the energy above the most stable polymorph in this dataset at 0 meV/atom. The value obtained for the volume is 153 Å³/f.u. For the magnetic moment, the calculation gives 0.00 μB per formula unit. The value obtained for the energy relative to the elements, uncorrected is 544 meV per atom.